! PBE SrAcZnPt, optimized geometry; values from VASP
! DFT formation energy in eV/atom: -0.560
! E above lowest polymorph in eV/atom: 0.1092
! Energy in eV/cell: -15.35
! N(E_F) in states/eV per atom: 0.79
&SYSTEM
  ibrav = 0, nat = 4, ntyp = 4
/
ATOMIC_SPECIES
Sr 87.62 Sr.upf
Ac 227.00 Ac.upf
Zn 65.41 Zn.upf
Pt 195.08 Pt.upf
CELL_PARAMETERS angstrom
5.3708 0.0000 0.0000
2.6854 4.6513 0.0000
2.6854 1.5504 4.3853
ATOMIC_POSITIONS crystal
Sr 0.5000 0.5000 0.5000
Ac 0.0000 0.0000 0.0000
Zn 0.2500 0.2500 0.2500
Pt 0.7500 0.7500 0.7500

---

! PBE Sr3Ac2Zn2Pt4, optimized geometry; values from VASP
! DFT formation energy in eV/atom: -0.772
! Energy in eV/cell: -48.47
! N(E_F) in states/eV per atom: 0.42
&SYSTEM
  ibrav = 0, nat = 11, ntyp = 4
/
ATOMIC_SPECIES
Sr 87.62 Sr.upf
Ac 227.00 Ac.upf
Zn 65.41 Zn.upf
Pt 195.08 Pt.upf
CELL_PARAMETERS angstrom
4.4222 0.0000 0.0000
-2.2111 3.8297 0.0000
0.0000 0.0000 18.9618
ATOMIC_POSITIONS crystal
Sr 0.0000 0.0000 0.7755
Sr 0.0000 0.0000 0.0000
Sr 0.0000 0.0000 0.2245
Ac 0.6667 0.3333 0.4047
Ac 0.3333 0.6667 0.5953
Zn 0.6667 0.3333 0.8868
Zn 0.3333 0.6667 0.1132
Pt 0.6667 0.3333 0.1116
Pt 0.3333 0.6667 0.8884
Pt 0.6667 0.3333 0.6740
Pt 0.3333 0.6667 0.3260

---

! PBE AcTaPt, optimized geometry; values from VASP
! DFT formation energy in eV/atom: -0.145
! Energy in eV/cell: -44.88
! N(E_F) in states/eV per atom: 1.29
&SYSTEM
  ibrav = 0, nat = 6, ntyp = 3
/
ATOMIC_SPECIES
Pt 195.08 Pt.upf
Ta 180.95 Ta.upf
Ac 227.00 Ac.upf
CELL_PARAMETERS angstrom
-1.4921 -0.8341 4.8279
1.6061 -1.9940 -2.5647
9.9946 3.3359 3.6652
ATOMIC_POSITIONS crystal
Pt 0.6943 0.3885 0.0000
Pt 0.1946 0.3891 0.5000
Ta 0.6945 0.3891 0.3908
Ta 0.6945 0.3891 0.6092
Ac 0.1944 0.3887 0.8277
Ac 0.1944 0.3887 0.1723

---

! PBE Ac4TbPt4, optimized geometry; values from VASP
! DFT formation energy in eV/atom: -1.060
! Energy in eV/cell: -54.76
! N(E_F) in states/eV per atom: 0.63
&SYSTEM
  ibrav = 0, nat = 9, ntyp = 3
/
ATOMIC_SPECIES
Ac 227.00 Ac.upf
Tb 158.93 Tb.upf
Pt 195.08 Pt.upf
CELL_PARAMETERS angstrom
4.2600 0.0000 1.0069
1.7979 6.9908 1.9085
-0.0280 0.0558 9.6337
ATOMIC_POSITIONS crystal
Ac 0.6992 0.4124 0.1892
Ac 0.8911 0.8256 0.3923
Ac 0.3008 0.5876 0.8108
Ac 0.1089 0.1744 0.6077
Tb 0.5000 0.0000 0.0000
Pt 0.2983 0.1106 0.2929
Pt 0.7017 0.8894 0.7071
Pt 0.9090 0.2783 0.9037
Pt 0.0910 0.7217 0.0963

---

! PBE AcTbPt3, optimized geometry; values from VASP
! DFT formation energy in eV/atom: -1.137
! Energy in eV/cell: -65.09
! N(E_F) in states/eV per atom: 0.64
&SYSTEM
  ibrav = 0, nat = 10, ntyp = 3
/
ATOMIC_SPECIES
Ac 227.00 Ac.upf
Tb 158.93 Tb.upf
Pt 195.08 Pt.upf
CELL_PARAMETERS angstrom
-2.2719 2.1804 -3.0092
-0.3302 -3.3671 -2.1904
-11.3889 -1.4030 7.5818
ATOMIC_POSITIONS crystal
Ac 0.2500 0.0751 0.1503
Ac 0.7500 0.9249 0.8497
Tb 0.2500 0.7927 0.5854
Tb 0.7500 0.2073 0.4146
Pt 0.2500 0.3729 0.7458
Pt 0.7500 0.6271 0.2542
Pt 0.2500 0.4708 0.9415
Pt 0.7500 0.5292 0.0585
Pt 0.7500 0.3115 0.6229
Pt 0.2500 0.6885 0.3771

---

! PBE AcTbPt, optimized geometry; values from VASP
! DFT formation energy in eV/atom: -0.693
! E above lowest polymorph in eV/atom: 0.1547
! Energy in eV/cell: -16.86
! N(E_F) in states/eV per atom: 0.86
&SYSTEM
  ibrav = 0, nat = 3, ntyp = 3
/
ATOMIC_SPECIES
Ac 227.00 Ac.upf
Tb 158.93 Tb.upf
Pt 195.08 Pt.upf
CELL_PARAMETERS angstrom
-5.0008 0.8524 -0.6893
-3.2549 -0.5577 3.9121
-2.2086 4.1142 2.0988
ATOMIC_POSITIONS crystal
Ac 0.0000 0.0000 0.0000
Tb 0.5000 0.5000 0.5000
Pt 0.2500 0.2500 0.2500